No. 1
A geometry-optimized SrNiTeN2 structure, computed with PBE-GGA.

Computed properties:
Space-group type: P4/mmm, No. 123
Spin magnetization: 5.76 μB per formula unit
DFT total energy: -18.426 eV per cell
ΔE_f (raw): 8.830 eV per formula unit

Cell and atoms, written as POSCAR:
```
SrNiTeN2
1.0
4.717 0.000 0.000
0.000 4.717 0.000
0.000 0.000 6.727
Sr Ni Te N
1 1 1 2
Direct
0.000 0.000 0.000
0.500 0.500 0.500
0.000 0.000 0.500
0.000 0.500 0.000
0.500 0.000 0.000
```

---

No. 2
A geometry-optimized TaCdCo2Au structure, computed with PBE-GGA.

Computed properties:
Space-group type: P4/mmm, No. 123
Formation energy from the elements: 1.833 eV/atom
Spin magnetization: 4.01 μB per formula unit
DFT total energy: -21.094 eV per cell

Cell and atoms, written as POSCAR:
```
TaCdCo2Au
1.0
4.588 0.000 0.000
0.000 4.588 0.000
0.000 0.000 5.072
Ta Cd Co Au
1 1 2 1
Direct
0.000 0.000 0.000
0.000 0.000 0.500
0.000 0.500 0.500
0.500 0.000 0.500
0.500 0.500 0.000
```

---

Which of these has the lowest spin magnetization?
TaCdCo2Au

---

What is the spin magnetization in the second record?
4.01 μB per formula unit

---

Which value of spin magnetization does entry 2 give?
4.01 μB per formula unit